NaCoIO2 after structural relaxation, computed with PBE+U.

a b c (Å): 3.9235 3.9235 5.9703
angles (deg): 90.00 90.00 90.00
Last column: nearest neighbours and their distance in Å.
Fractional coordinates of all 5 atoms:
I: 0.0000 0.0000 0.5000  4 Na 2.77, 2 Co 2.99
Na: 0.5000 0.5000 0.5000  4 I 2.77
Co: 0.0000 0.0000 0.0000  4 O 1.96
O: 0.0000 0.5000 0.0000  2 Co 1.96
O: 0.5000 0.0000 0.0000  2 Co 1.96

Output
E above lowest polymorph: 0.00 eV per formula unit
Size of the total moment: 0.865 μB per atom